Tb12Er2Mg | the Alexandria database | PBE | relaxed; final energy = -4.32 eV per atom; crystal system = monoclinic; formation enthalpy at 0 K = 102 meV/atom; space group = C2/m (12)
1.0
6.465 1.538 0.403
1.538 6.465 -0.403
0.737 -0.737 24.199
Tb Er Mg
24 4 2
Cartesian
5.521 2.871 22.698 Tb
1.826 2.175 10.277 Tb
4.182 3.990 7.857 Tb
2.163 1.838 2.637 Tb
2.410 6.125 4.397 Tb
5.005 2.819 10.849 Tb
2.095 5.739 15.939 Tb
6.862 1.673 19.801 Tb
4.341 3.129 4.800 Tb
2.721 5.461 10.446 Tb
6.476 1.358 8.260 Tb
2.912 1.089 13.921 Tb
5.682 1.931 1.904 Tb
3.608 4.784 1.501 Tb
5.953 6.051 10.121 Tb
6.788 5.215 14.077 Tb
6.198 1.983 13.752 Tb
6.108 5.896 3.702 Tb
2.669 4.945 22.295 Tb
3.556 4.268 13.350 Tb
4.727 3.444 16.342 Tb
2.575 1.426 21.562 Tb
6.633 5.371 20.496 Tb
3.866 3.604 19.398 Tb
3.360 0.642 7.182 Er
1.016 2.985 6.274 Er
1.379 2.623 17.017 Er
3.723 0.279 17.925 Er
5.708 6.296 23.615 Mg
7.033 4.971 0.584 Mg

=====

SrSc | the Alexandria database | PBE | relaxed; offset from the most stable computed form = 0.460 eV per atom; final energy = -3.35 eV per atom; crystal system = hexagonal; formation enthalpy at 0 K = 655 meV/atom; space group = P6_3/mmc (194)
1.0
-1.003 -1.706 -5.639
3.652 -3.199 3.485
-4.265 -3.040 1.678
Sc Sr
2 2
Cartesian
0.000 0.000 0.000 Sc
-2.132 -1.520 0.839 Sc
-2.650 -4.484 -1.340 Sr
1.034 -3.461 0.863 Sr

=====

CaIr2 | the Alexandria database | PBE | relaxed; final energy = -6.45 eV per atom; crystal system = orthorhombic; formation enthalpy at 0 K = 123 meV/atom; space group = Cmcm (63)
1.0
-7.710 0.628 -1.915
6.644 -2.930 3.283
-0.754 2.675 3.912
Ir Ca
4 2
Cartesian
-4.039 0.340 0.461 Ir
-6.961 2.309 1.495 Ir
5.141 -1.935 3.785 Ir
2.219 0.033 4.820 Ir
-2.346 1.165 3.167 Ca
0.527 -0.791 2.114 Ca

=====

PmGaAu | the Alexandria database | PBE | relaxed; offset from the most stable computed form = 0.000 eV per atom; final energy = -4.46 eV per atom; crystal system = monoclinic; formation enthalpy at 0 K = -775 meV/atom; space group = C2/m (12)
1.0
4.558 0.000 0.000
2.279 5.500 -0.024
2.279 0.394 5.320
Ga Pm Au
2 2 2
Cartesian
2.279 2.298 1.531 Ga
6.837 3.596 3.766 Ga
4.558 1.393 3.850 Pm
4.558 4.502 1.447 Pm
4.558 1.250 0.721 Au
4.558 4.645 4.576 Au

=====

SrLiAs2Pt | the Alexandria database | PBE | relaxed; final energy = -4.65 eV per atom; crystal system = tetragonal; formation enthalpy at 0 K = -859 meV/atom; space group = I-4m2 (119)
1.0
4.334 0.000 0.000
0.000 4.334 0.000
-2.167 -2.167 5.346
As Sr Li Pt
2 1 1 1
Cartesian
2.167 2.167 1.306 As
0.000 0.000 4.040 As
0.000 0.000 0.000 Sr
2.167 0.000 2.673 Li
0.000 2.167 2.673 Pt

=====

ZnAgPt3 | the Alexandria database | PBE | relaxed; offset from the most stable computed form = 1.186 eV per atom; final energy = -3.05 eV per atom; crystal system = cubic; formation enthalpy at 0 K = 1397 meV/atom; space group = Pm-3m (221)
1.0
4.885 0.000 0.000
0.000 4.885 0.000
0.000 0.000 4.885
Zn Pt Ag
1 3 1
Cartesian
2.442 2.442 2.442 Zn
0.000 2.442 0.000 Pt
0.000 0.000 2.442 Pt
2.442 0.000 0.000 Pt
0.000 0.000 0.000 Ag